1.
VASP calculation (PBE) on K2SbAs2 after structural relaxation.

Geometry as extended XYZ:
```
5
Lattice="-0.582 2.400 -2.808 -0.837 -2.854 -2.266 -11.324 0.588 0.359" Properties=species:S:1:pos:R:3 pbc="T T T"
Sb 0.000 0.000 0.000
As -6.307 1.380 -2.493
As -6.435 -1.246 -2.222
K -3.116 -0.042 -1.880
K -9.627 0.176 -2.834
```

Calculated values
**Magnetic moment**: 0.00 μB per formula unit

***

2.
VASP calculation (PBE) on K2SbAs2 after structural relaxation.

Geometry as extended XYZ:
```
10
Lattice="-3.476 5.830 3.233 -6.650 -3.288 -1.220 0.328 -2.402 4.685" Properties=species:S:1:pos:R:3 pbc="T T T"
Sb 0.000 0.000 0.000
Sb -5.063 1.271 1.006
As -7.209 -0.669 0.162
As -7.171 3.124 2.104
As -2.917 3.211 1.851
As -2.956 -0.583 -0.092
K -4.986 -2.387 2.095
K -7.652 0.069 3.541
K -4.812 2.527 4.603
K -2.146 0.070 3.156
```

Calculated values
**Magnetic moment**: 0.00 μB per formula unit

***

Energy ordering: 2 at the bottom, the next structure 119 meV/atom above.